Below is a relaxed structure of LiSi2RuPt, with properties calculated at the PBE level.

Magnetization in μB/f.u.: 0.0
Energy in eV per atom: -4.808

Cell and atoms, written as POSCAR:
```
LiSi2RuPt
1.0
4.225 0.000 0.000
0.000 4.004 0.000
0.000 0.000 4.225
Ru Pt Si Li
1 1 2 1
Cartesian
2.112 2.002 2.112 Ru
0.000 2.002 0.000 Pt
2.112 0.000 0.000 Si
0.000 0.000 2.112 Si
0.000 0.000 0.000 Li
```